Material: Sc2FeRu
Method: DFT, GGA-PBE
State: relaxed

Lattice parameters (Å, degrees): 3.1131 3.9511 5.5971 90.00 90.00 90.00
Last column: nearest neighbours and their distance in Å.
Space group Pmm2 (No. 25)
Inequivalent atoms, fractional coordinates:
Sc 0.0000 0.0000 0.0000  1 Fe 2.58, 4 Ru 2.74
Sc 0.5000 0.5000 0.3406  1 Ru 2.61, 4 Fe 2.75
Fe 0.0000 0.0000 0.5392  5 Sc 2.58-2.75
Ru 0.5000 0.5000 0.8068  5 Sc 2.61-2.74

- magnetization (μB/f.u.) = 1.98
- ΔE_f (eV/atom) = -0.004